# KLa3 | Alexandria via LeMat-Bulk | PBE-GGA | relaxed
data_KLa3
_cell_length_a 6.473
_cell_length_b 6.473
_cell_length_c 3.881
_cell_angle_alpha 90.00
_cell_angle_beta 90.00
_cell_angle_gamma 90.00
_symmetry_space_group_name_H-M 'P 1'
_symmetry_Int_Tables_number 1
loop_
_symmetry_equiv_pos_as_xyz
'x,y,z'
loop_
_atom_site_label
_atom_site_type_symbol
_atom_site_fract_x
_atom_site_fract_y
_atom_site_fract_z
K1 K 0.000 0.000 0.000
La1 La 0.500 0.000 0.500
La2 La 0.500 0.500 0.000
La3 La 0.000 0.500 0.500
# - SG = No. 123

# KLa3 | Alexandria via LeMat-Bulk | PBE-GGA | relaxed
data_KLa3
_cell_length_a 7.480
_cell_length_b 7.480
_cell_length_c 7.480
_cell_angle_alpha 151.00
_cell_angle_beta 125.58
_cell_angle_gamma 62.84
_symmetry_space_group_name_H-M 'P 1'
_symmetry_Int_Tables_number 1
loop_
_symmetry_equiv_pos_as_xyz
'x,y,z'
loop_
_atom_site_label
_atom_site_type_symbol
_atom_site_fract_x
_atom_site_fract_y
_atom_site_fract_z
K1 K 0.020 0.000 0.020
La1 La 0.515 0.500 0.015
La2 La 0.882 0.233 0.649
La3 La 0.417 0.767 0.649
# - SG = No. 44

# KLa3 | Alexandria via LeMat-Bulk | PBE-GGA | relaxed
data_KLa3
_cell_length_a 13.654
_cell_length_b 13.654
_cell_length_c 13.654
_cell_angle_alpha 15.86
_cell_angle_beta 15.86
_cell_angle_gamma 15.86
_symmetry_space_group_name_H-M 'P 1'
_symmetry_Int_Tables_number 1
loop_
_symmetry_equiv_pos_as_xyz
'x,y,z'
loop_
_atom_site_label
_atom_site_type_symbol
_atom_site_fract_x
_atom_site_fract_y
_atom_site_fract_z
K1 K 0.000 0.000 0.000
La1 La 0.761 0.761 0.761
La2 La 0.500 0.500 0.500
La3 La 0.239 0.239 0.239
# - SG = No. 166

# KLa3 | Alexandria via LeMat-Bulk | PBE-GGA | relaxed
data_KLa3
_cell_length_a 6.862
_cell_length_b 6.862
_cell_length_c 3.656
_cell_angle_alpha 90.00
_cell_angle_beta 90.00
_cell_angle_gamma 110.13
_symmetry_space_group_name_H-M 'P 1'
_symmetry_Int_Tables_number 1
loop_
_symmetry_equiv_pos_as_xyz
'x,y,z'
loop_
_atom_site_label
_atom_site_type_symbol
_atom_site_fract_x
_atom_site_fract_y
_atom_site_fract_z
K1 K 0.000 0.000 0.000
La1 La 0.000 0.500 0.500
La2 La 0.500 0.000 0.500
La3 La 0.500 0.500 0.000
# - SG = No. 65

# KLa | Alexandria via LeMat-Bulk | PBE-GGA | relaxed
data_KLa
_cell_length_a 10.624
_cell_length_b 10.624
_cell_length_c 10.624
_cell_angle_alpha 90.00
_cell_angle_beta 90.00
_cell_angle_gamma 90.00
_symmetry_space_group_name_H-M 'P 1'
_symmetry_Int_Tables_number 1
loop_
_symmetry_equiv_pos_as_xyz
'x,y,z'
loop_
_atom_site_label
_atom_site_type_symbol
_atom_site_fract_x
_atom_site_fract_y
_atom_site_fract_z
K1 K 0.250 0.000 0.500
K2 K 0.750 0.000 0.500
K3 K 0.000 0.500 0.250
K4 K 0.000 0.500 0.750
K5 K 0.500 0.250 0.000
K6 K 0.500 0.750 0.000
La1 La 0.250 0.500 0.000
La2 La 0.750 0.500 0.000
La3 La 0.500 0.000 0.250
La4 La 0.500 0.000 0.750
La5 La 0.000 0.250 0.500
La6 La 0.000 0.750 0.500
# - SG = No. 223

# KLa | Alexandria via LeMat-Bulk | PBE-GGA | relaxed
data_KLa
_cell_length_a 7.793
_cell_length_b 7.834
_cell_length_c 12.446
_cell_angle_alpha 90.00
_cell_angle_beta 90.00
_cell_angle_gamma 90.00
_symmetry_space_group_name_H-M 'P 1'
_symmetry_Int_Tables_number 1
loop_
_symmetry_equiv_pos_as_xyz
'x,y,z'
loop_
_atom_site_label
_atom_site_type_symbol
_atom_site_fract_x
_atom_site_fract_y
_atom_site_fract_z
K1 K 0.266 0.198 0.015
K2 K 0.766 0.302 0.985
K3 K 0.734 0.698 0.485
K4 K 0.234 0.802 0.515
K5 K 0.453 0.045 0.745
K6 K 0.953 0.455 0.255
K7 K 0.547 0.545 0.755
K8 K 0.047 0.955 0.245
La1 La 0.683 0.801 0.035
La2 La 0.183 0.699 0.965
La3 La 0.317 0.301 0.465
La4 La 0.817 0.199 0.535
La5 La 0.047 0.429 0.716
La6 La 0.547 0.071 0.284
La7 La 0.953 0.929 0.784
La8 La 0.453 0.571 0.216
# - SG = No. 19

# KLa | Alexandria via LeMat-Bulk | PBE-GGA | relaxed
data_KLa
_cell_length_a 3.935
_cell_length_b 3.935
_cell_length_c 14.469
_cell_angle_alpha 90.00
_cell_angle_beta 90.00
_cell_angle_gamma 120.00
_symmetry_space_group_name_H-M 'P 1'
_symmetry_Int_Tables_number 1
loop_
_symmetry_equiv_pos_as_xyz
'x,y,z'
loop_
_atom_site_label
_atom_site_type_symbol
_atom_site_fract_x
_atom_site_fract_y
_atom_site_fract_z
K1 K 0.000 0.000 0.980
K2 K 0.667 0.333 0.270
La1 La 0.000 0.000 0.527
La2 La 0.667 0.333 0.723
# - SG = No. 164

# K2La | Alexandria via LeMat-Bulk | PBE-GGA | relaxed
data_K2La
_cell_length_a 17.098
_cell_length_b 17.098
_cell_length_c 5.346
_cell_angle_alpha 90.00
_cell_angle_beta 90.00
_cell_angle_gamma 167.12
_symmetry_space_group_name_H-M 'P 1'
_symmetry_Int_Tables_number 1
loop_
_symmetry_equiv_pos_as_xyz
'x,y,z'
loop_
_atom_site_label
_atom_site_type_symbol
_atom_site_fract_x
_atom_site_fract_y
_atom_site_fract_z
K1 K 0.646 0.354 0.750
K2 K 0.950 0.050 0.750
K3 K 0.050 0.950 0.250
K4 K 0.354 0.646 0.250
La1 La 0.265 0.735 0.750
La2 La 0.735 0.265 0.250
# - SG = No. 63

# KLa5 | Alexandria via LeMat-Bulk | PBE-GGA | relaxed
data_KLa5
_cell_length_a 8.695
_cell_length_b 8.695
_cell_length_c 5.391
_cell_angle_alpha 90.00
_cell_angle_beta 90.00
_cell_angle_gamma 144.25
_symmetry_space_group_name_H-M 'P 1'
_symmetry_Int_Tables_number 1
loop_
_symmetry_equiv_pos_as_xyz
'x,y,z'
loop_
_atom_site_label
_atom_site_type_symbol
_atom_site_fract_x
_atom_site_fract_y
_atom_site_fract_z
K1 K 0.500 0.500 0.000
La1 La 0.323 0.677 0.500
La2 La 0.176 0.824 0.000
La3 La 0.000 0.000 0.500
La4 La 0.824 0.176 0.000
La5 La 0.677 0.323 0.500
# - SG = No. 65

# KLa5 | Alexandria via LeMat-Bulk | PBE-GGA | relaxed
data_KLa5
_cell_length_a 10.448
_cell_length_b 10.448
_cell_length_c 6.311
_cell_angle_alpha 90.00
_cell_angle_beta 90.00
_cell_angle_gamma 159.68
_symmetry_space_group_name_H-M 'P 1'
_symmetry_Int_Tables_number 1
loop_
_symmetry_equiv_pos_as_xyz
'x,y,z'
loop_
_atom_site_label
_atom_site_type_symbol
_atom_site_fract_x
_atom_site_fract_y
_atom_site_fract_z
K1 K 0.005 0.995 0.000
La1 La 0.321 0.679 0.000
La2 La 0.682 0.318 0.000
La3 La 0.427 0.573 0.500
La4 La 0.782 0.218 0.500
La5 La 0.117 0.883 0.500
# - SG = No. 38

# KLa3 | Alexandria via LeMat-Bulk | PBE-GGA | relaxed
data_KLa3
_cell_length_a 5.452
_cell_length_b 5.452
_cell_length_c 5.452
_cell_angle_alpha 90.00
_cell_angle_beta 90.00
_cell_angle_gamma 90.00
_symmetry_space_group_name_H-M 'P 1'
_symmetry_Int_Tables_number 1
loop_
_symmetry_equiv_pos_as_xyz
'x,y,z'
loop_
_atom_site_label
_atom_site_type_symbol
_atom_site_fract_x
_atom_site_fract_y
_atom_site_fract_z
K1 K 0.000 0.000 0.000
La1 La 0.000 0.500 0.500
La2 La 0.500 0.500 0.000
La3 La 0.500 0.000 0.500
# - SG = No. 221

# K2La | Alexandria via LeMat-Bulk | PBE-GGA | relaxed
data_K2La
_cell_length_a 11.256
_cell_length_b 11.256
_cell_length_c 11.256
_cell_angle_alpha 160.47
_cell_angle_beta 160.47
_cell_angle_gamma 27.75
_symmetry_space_group_name_H-M 'P 1'
_symmetry_Int_Tables_number 1
loop_
_symmetry_equiv_pos_as_xyz
'x,y,z'
loop_
_atom_site_label
_atom_site_type_symbol
_atom_site_fract_x
_atom_site_fract_y
_atom_site_fract_z
K1 K 0.658 0.658 0.000
K2 K 0.342 0.342 0.000
La1 La 0.000 0.000 0.000
# - SG = No. 139

# K2La | Alexandria via LeMat-Bulk | PBE-GGA | relaxed
data_K2La
_cell_length_a 3.490
_cell_length_b 7.320
_cell_length_c 12.345
_cell_angle_alpha 90.00
_cell_angle_beta 90.00
_cell_angle_gamma 90.00
_symmetry_space_group_name_H-M 'P 1'
_symmetry_Int_Tables_number 1
loop_
_symmetry_equiv_pos_as_xyz
'x,y,z'
loop_
_atom_site_label
_atom_site_type_symbol
_atom_site_fract_x
_atom_site_fract_y
_atom_site_fract_z
K1 K 0.000 0.496 0.170
K2 K 0.000 0.504 0.830
K3 K 0.500 0.004 0.670
K4 K 0.500 0.996 0.330
La1 La 0.000 0.000 0.000
La2 La 0.500 0.500 0.500
# - SG = No. 58

# KLa3 | Alexandria via LeMat-Bulk | PBE-GGA | relaxed
data_KLa3
_cell_length_a 6.642
_cell_length_b 6.642
_cell_length_c 7.164
_cell_angle_alpha 81.65
_cell_angle_beta 81.65
_cell_angle_gamma 31.84
_symmetry_space_group_name_H-M 'P 1'
_symmetry_Int_Tables_number 1
loop_
_symmetry_equiv_pos_as_xyz
'x,y,z'
loop_
_atom_site_label
_atom_site_type_symbol
_atom_site_fract_x
_atom_site_fract_y
_atom_site_fract_z
K1 K 0.000 0.000 0.000
La1 La 0.500 0.500 0.500
La2 La 0.764 0.764 0.711
La3 La 0.236 0.236 0.289
# - SG = No. 12

Calculated total energy in order - -3.59, -3.64, -3.83, -3.61, -1.25, -2.54, -2.83, -2.12, -4.04, -4.08, -3.54, -2.02, -1.88, -3.67 eV per atom
Calculated calculated formation energy in order - 378, 330, 136, 357, 1766, 472, 187, 254, 249, 213, 426, 357, 496, 295 meV per atom
Calculated total magnetization in order - 0.0, 0.0, 0.0, 0.1, 15.6, 0.0, 0.0, 0.0, 0.0, 0.0, 0.0, 0.0, 0.0, 0.0 μB/cell